(1)
The following is a DFT calculation (PBE) of Pr3B2IrPt9 after structural relaxation.

abc: 5.7785 5.7785 9.5680
angles: 90.00 90.00 120.00
Sites, in units of the cell vectors:
1 Pr 0.0000 0.0000 0.0000
2 Pr 0.3333 0.6667 0.5936
3 Pr 0.6667 0.3333 0.4064
4 B 0.3333 0.6667 0.1466
5 B 0.6667 0.3333 0.8534
6 Ir 0.0000 0.0000 0.5000
7 Pt 0.0000 0.5000 0.0000
8 Pt 0.1621 0.3243 0.2759
9 Pt 0.1621 0.8379 0.2759
10 Pt 0.3243 0.1621 0.7241
11 Pt 0.5000 0.0000 0.0000
12 Pt 0.5000 0.5000 0.0000
13 Pt 0.6757 0.8379 0.2759
14 Pt 0.8379 0.1621 0.7241
15 Pt 0.8379 0.6757 0.7241

Computed properties:
**N(E_F)**: 6.964 states/eV/cell
**Total magnetization**: 0.000 μB per atom
**Formation energy**: -687 meV/atom
**Crystal system**: trigonal
**Space group**: P-3m1 (164)

=====

(2)
The following is a DFT calculation (PBE) of TiNbAlW after structural relaxation.

abc: 4.5428 4.5428 4.5428
angles: 60.00 60.00 60.00
Sites, in units of the cell vectors:
1 Ti 0.0000 0.0000 0.0000
2 Nb 0.5000 0.5000 0.5000
3 Al 0.7500 0.7500 0.7500
4 W 0.2500 0.2500 0.2500

Computed properties:
**N(E_F)**: 1.210 states/eV/cell
**Total magnetization**: 0.000 μB per atom
**Formation energy**: -190 meV/atom
**Distance to the lowest polymorph of the same formula**: 44 meV/atom
**Crystal system**: cubic
**Space group**: F-43m (216)

=====

(3)
The following is a DFT calculation (PBE) of Cs2LiCrI6 after structural relaxation.

abc: 8.2432 8.2432 8.2432
angles: 60.00 60.00 60.00
Sites, in units of the cell vectors:
1 Cs 0.2500 0.2500 0.2500
2 Cs 0.7500 0.7500 0.7500
3 Li 0.0000 0.0000 0.0000
4 Cr 0.5000 0.5000 0.5000
5 I 0.2620 0.2620 0.7380
6 I 0.2620 0.7380 0.2620
7 I 0.2620 0.7380 0.7380
8 I 0.7380 0.2620 0.2620
9 I 0.7380 0.2620 0.7380
10 I 0.7380 0.7380 0.2620

Computed properties:
**N(E_F)**: 0.000 states/eV/cell
**Total magnetization**: 0.300 μB per atom
**Uncorrected formation energy**: -0.99 eV per atom
**Distance to the lowest polymorph of the same formula**: 50 meV/atom
**Crystal system**: cubic
**Space group**: Fm-3m (225)

=====

(4)
The following is a DFT calculation (PBE) of CrAuBr2 after structural relaxation.

abc: 4.9085 4.9085 3.6618
angles: 90.00 90.00 90.00
Sites, in units of the cell vectors:
1 Cr 0.0000 0.0000 0.0000
2 Au 0.5000 0.5000 0.0000
3 Br 0.0000 0.5000 0.5000
4 Br 0.5000 0.0000 0.5000

Computed properties:
**N(E_F)**: 2.585 states/eV/cell
**Total magnetization**: 1.144 μB per atom
**Uncorrected formation energy**: 0.30 eV per atom
**Distance to the lowest polymorph of the same formula**: 519 meV/atom
**Crystal system**: tetragonal
**Space group**: P4/mmm (123)

=====

(5)
The following is a DFT calculation (PBE) of TaAlIn2 after structural relaxation.

abc: 3.0025 5.0657 5.2644
angles: 90.00 90.00 90.00
Sites, in units of the cell vectors:
1 Ta 0.0000 0.0000 0.0000
2 Al 0.0000 0.5000 0.7141
3 In 0.5000 0.0000 0.5173
4 In 0.5000 0.5000 0.1919

Computed properties:
**N(E_F)**: 1.661 states/eV/cell
**Total magnetization**: 0.000 μB per atom
**Formation energy**: 176 meV/atom
**Crystal system**: orthorhombic
**Space group**: Pmm2 (25)

=====

(6)
The following is a DFT calculation (PBE) of TlTc2As after structural relaxation.

abc: 3.1697 4.3434 5.0879
angles: 90.00 90.00 90.00
Sites, in units of the cell vectors:
1 Tl 0.0000 0.0000 0.0000
2 Tc 0.0000 0.5000 0.5000
3 Tc 0.5000 0.5000 0.0000
4 As 0.5000 0.0000 0.5000

Computed properties:
**N(E_F)**: 5.482 states/eV/cell
**Total magnetization**: 0.054 μB per atom
**Formation energy**: 745 meV/atom
**Distance to the lowest polymorph of the same formula**: 567 meV/atom
**Crystal system**: orthorhombic
**Space group**: Pmmm (47)

=====

(7)
The following is a DFT calculation (PBE) of Rb3Ac2ErSe6 after structural relaxation.

abc: 7.7585 7.7585 8.4488
angles: 98.83 98.83 120.00
Sites, in units of the cell vectors:
1 Rb 0.0000 0.0000 0.0000
2 Rb 0.3318 0.6682 0.0000
3 Rb 0.6682 0.3318 0.0000
4 Ac 0.1665 0.8335 0.5000
5 Ac 0.8335 0.1665 0.5000
6 Er 0.5000 0.5000 0.5000
7 Se 0.1195 0.4326 0.2978
8 Se 0.2549 0.2549 0.7021
9 Se 0.4326 0.1195 0.2978
10 Se 0.5674 0.8805 0.7022
11 Se 0.7451 0.7451 0.2979
12 Se 0.8805 0.5674 0.7022

Computed properties:
**N(E_F)**: 0.000 states/eV/cell
**Total magnetization**: 0.000 μB per atom
**Uncorrected formation energy**: -1.77 eV per atom
**Crystal system**: monoclinic
**Space group**: C2/m (12)

=====

(8)
The following is a DFT calculation (PBE) of CsLiBeF4 after structural relaxation.

abc: 5.4438 8.9703 10.8077
angles: 90.00 119.79 90.00
Sites, in units of the cell vectors:
1 Cs 0.0260 0.0017 0.2742
2 Cs 0.0260 0.4983 0.7742
3 Cs 0.9740 0.5017 0.2258
4 Cs 0.9740 0.9983 0.7258
5 Li 0.3371 0.6866 0.5816
6 Li 0.3371 0.8134 0.0816
7 Li 0.6629 0.1866 0.9184
8 Li 0.6629 0.3134 0.4184
9 Be 0.3308 0.1976 0.0849
10 Be 0.3308 0.3024 0.5849
11 Be 0.6692 0.6976 0.4151
12 Be 0.6692 0.8024 0.9151
13 F 0.0294 0.2485 0.4669
14 F 0.0294 0.2515 0.9669
15 F 0.3423 0.0230 0.0896
16 F 0.3423 0.4770 0.5896
17 F 0.3879 0.2459 0.7343
18 F 0.3879 0.2541 0.2343
19 F 0.4387 0.7411 0.9488
20 F 0.4387 0.7589 0.4488
21 F 0.5613 0.2411 0.5512
22 F 0.5613 0.2589 0.0512
23 F 0.6121 0.7459 0.7657
24 F 0.6121 0.7541 0.2657
25 F 0.6577 0.5230 0.4104
26 F 0.6577 0.9770 0.9104
27 F 0.9706 0.7485 0.0331
28 F 0.9706 0.7515 0.5331

Computed properties:
**N(E_F)**: 0.000 states/eV/cell
**Total magnetization**: 0.019 μB per atom
**Uncorrected formation energy**: -3.12 eV per atom
**Distance to the lowest polymorph of the same formula**: 0 meV/atom
**Crystal system**: monoclinic
**Space group**: P2_1/c (14)

=====

(9)
The following is a DFT calculation (PBE) of K2CaFe after structural relaxation.

abc: 7.0064 7.0064 3.9032
angles: 90.00 90.00 120.86
Sites, in units of the cell vectors:
1 K 0.0000 0.5000 0.0000
2 K 0.5000 0.0000 0.0000
3 Ca 0.0000 0.0000 0.5000
4 Fe 0.5000 0.5000 0.5000

Computed properties:
**N(E_F)**: 5.853 states/eV/cell
**Total magnetization**: 0.714 μB per atom
**Formation energy**: 885 meV/atom
**Distance to the lowest polymorph of the same formula**: 306 meV/atom
**Crystal system**: orthorhombic
**Space group**: Cmmm (65)

=====

(10)
The following is a DFT calculation (PBE) of Lu2NbAg after structural relaxation.

abc: 10.0288 10.0288 10.0288
angles: 18.79 18.79 18.79
Sites, in units of the cell vectors:
1 Lu 0.2501 0.2501 0.2501
2 Lu 0.7499 0.7499 0.7499
3 Nb 0.0000 0.0000 0.0000
4 Ag 0.5000 0.5000 0.5000

Computed properties:
**N(E_F)**: 4.461 states/eV/cell
**Total magnetization**: 0.000 μB per atom
**Formation energy**: 136 meV/atom
**Distance to the lowest polymorph of the same formula**: 168 meV/atom
**Crystal system**: trigonal
**Space group**: R-3m (166)

=====

(11)
The following is a DFT calculation (PBE) of La12Ho6Pu after structural relaxation.

abc: 9.6559 9.6559 9.6559
angles: 110.84 110.84 110.84
Sites, in units of the cell vectors:
1 La 0.0579 0.5817 0.3731
2 La 0.1019 0.1543 0.7416
3 La 0.1543 0.7416 0.1019
4 La 0.2584 0.8981 0.8457
5 La 0.3731 0.0579 0.5817
6 La 0.4183 0.6269 0.9421
7 La 0.5817 0.3731 0.0579
8 La 0.6269 0.9421 0.4183
9 La 0.7416 0.1019 0.1543
10 La 0.8457 0.2584 0.8981
11 La 0.8981 0.8457 0.2584
12 La 0.9421 0.4183 0.6269
13 Ho 0.2147 0.3163 0.4682
14 Ho 0.3163 0.4682 0.2147
15 Ho 0.4682 0.2147 0.3163
16 Ho 0.5318 0.7853 0.6837
17 Ho 0.6837 0.5318 0.7853
18 Ho 0.7853 0.6837 0.5318
19 Pu 0.0000 0.0000 0.0000

Computed properties:
**N(E_F)**: 37.248 states/eV/cell
**Total magnetization**: 0.401 μB per atom
**Formation energy**: 43 meV/atom
**Crystal system**: trigonal
**Space group**: R-3 (148)

=====

(12)
The following is a DFT calculation (PBE) of MgHI2 after structural relaxation.

abc: 4.2042 4.2058 8.5155
angles: 103.99 90.05 119.98
Sites, in units of the cell vectors:
1 Mg 0.0000 0.0000 0.0000
2 H 0.5175 0.0019 0.5025
3 I 0.2675 0.5330 0.7955
4 I 0.7353 0.4669 0.2047

Computed properties:
**N(E_F)**: 0.000 states/eV/cell
**Total magnetization**: 0.250 μB per atom
**Total DFT energy (no corrections)**: -2.2358 eV per atom
**Crystal system**: triclinic
**Space group**: P1 (1)